A plane-wave DFT calculation with PBE was carried out for a relaxed Hf3V2H4 crystal.

a b c (Å): 8.190 9.975 5.126
angles (deg): 90.00 104.20 90.00
Space group C2/c (No. 15)
Asymmetric unit:
Hf 0.000 0.104 0.250 (multiplicity 4)
Hf 0.107 0.376 0.542 (multiplicity 8)
V 0.206 0.139 0.879 (multiplicity 8)
H 0.107 0.281 0.178 (multiplicity 8)
H 0.184 0.018 0.575 (multiplicity 8)

Calculated values
E_tot	-6.9439	eV/atom
spin magnetization	0.0	μB/f.u.